(1)
Ba3LiPm2Se6 (PBE-GGA, optimized geometry); magnetization = 0.0 μB/f.u.; DOS(E_F) = 3.81 states/eV/f.u.; ΔE_f (raw) = -1.8445 eV per atom; DFT total energy = -60.22 eV/cell
1.0
3.816 -6.611 0.000
3.816 6.611 0.000
-2.536 0.000 7.334
Ba Li Pm Se
3 1 2 6
Direct
0.000 0.000 0.000 Ba
0.335 0.665 0.000 Ba
0.665 0.335 0.000 Ba
0.500 0.500 0.500 Li
0.167 0.833 0.500 Pm
0.833 0.167 0.500 Pm
0.091 0.427 0.281 Se
0.237 0.237 0.716 Se
0.427 0.091 0.281 Se
0.573 0.909 0.719 Se
0.763 0.763 0.284 Se
0.909 0.573 0.719 Se

=====

(2)
Fe4Ir7Rh6 (PBE-GGA, optimized geometry); magnetization = 13.9 μB/f.u.; DOS(E_F) = 21.12 states/eV/f.u.; DFT total energy = -133.87 eV/cell; formation enthalpy at 0 K = 590 kJ/mol of formula units
1.0
-4.013 4.013 4.013
4.013 -4.013 4.013
4.013 4.013 -4.013
Fe Ir Rh
4 7 6
Direct
0.000 0.000 0.500 Fe
0.000 0.500 0.000 Fe
0.500 0.000 0.000 Fe
0.500 0.500 0.500 Fe
0.000 0.000 0.000 Ir
0.250 0.500 0.750 Ir
0.250 0.750 0.500 Ir
0.500 0.250 0.750 Ir
0.500 0.750 0.250 Ir
0.750 0.250 0.500 Ir
0.750 0.500 0.250 Ir
0.000 0.296 0.296 Rh
0.000 0.704 0.704 Rh
0.296 0.000 0.296 Rh
0.296 0.296 0.000 Rh
0.704 0.000 0.704 Rh
0.704 0.704 0.000 Rh